A plane-wave DFT calculation with PBE was carried out for Pr12NdHo5 after structural relaxation.

- formation energy (meV/atom) = 21
- uncorrected energy (eV per atom) = -4.702
- density of states at the Fermi level (states/eV per atom) = 1.62
- total magnetization (μB per formula unit) = 0.00

Lattice parameters (Å, degrees): 15.496 15.557 5.189 90.00 90.00 90.00
Space group Cmmm (No. 65)
Unique sites:
1 Pr 0.164 0.000 0.000 (multiplicity 4)
2 Pr 0.164 0.166 0.500 (multiplicity 8)
3 Pr 0.165 0.333 0.000 (multiplicity 8)
4 Pr 0.166 0.500 0.500 (multiplicity 4)
5 Nd 0.000 0.500 0.000 (multiplicity 2)
6 Ho 0.000 0.000 0.500 (multiplicity 2)
7 Ho 0.000 0.167 0.000 (multiplicity 4)
8 Ho 0.000 0.332 0.500 (multiplicity 4)